This record from Alexandria describes a relaxed TbRuO crystal. The functional is PBE-GGA.

Lattice parameters (Å, degrees): 3.8109 3.8109 10.0775 93.43 93.43 59.70
Sites, in units of the cell vectors:
Tb 0.0266 0.0266 0.2627
Tb 0.9734 0.9734 0.7373
Ru 0.3308 0.3308 0.9705
Ru 0.6692 0.6692 0.0295
O 0.3651 0.3651 0.3207
O 0.6349 0.6349 0.6793

Calculated values
SG = C2/m (12)
Formation energy from raw total energies = -1514.1 meV/atom

***

This record from Alexandria describes a relaxed KGe4Pt6 crystal. The functional is PBE-GGA.

Lattice parameters (Å, degrees): 6.6160 6.6160 6.6160 117.23 117.23 94.88
Sites, in units of the cell vectors:
K 0.0000 0.0000 0.0000
Ge 0.1326 0.5380 0.0000
Ge 0.4620 0.4620 0.5946
Ge 0.5380 0.1326 0.0000
Ge 0.8674 0.8674 0.4054
Pt 0.0000 0.5000 0.5000
Pt 0.2281 0.2281 0.6930
Pt 0.4649 0.7719 0.0000
Pt 0.5000 0.0000 0.5000
Pt 0.5351 0.5351 0.3070
Pt 0.7719 0.4649 0.0000

Calculated values
SG = I-42m (121)
Uncorrected energy = -5.413 eV/atom